Material: SrRe2IrCl
Method: DFT, GGA-PBE
State: optimized geometry

Results
* raw formation energy: 3.3647 eV per atom
* crystal system: tetragonal
* magnetic moment: 0.0003 μB per atom

Unit cell a=4.874 b=4.908 c=4.874 alpha=90.00 beta=90.00 gamma=90.00
Fractional positions:
Re1 0.500 0.000 0.000
Re2 0.000 0.000 0.500
Sr1 0.000 0.000 0.000
Cl1 0.000 0.500 0.000
Ir1 0.500 0.500 0.500